w | # La3Al3Cu8 | Alexandria via LeMat-Bulk | GGA-PBE | relaxed
data_La3Al3Cu8
_space_group_name_H-M_alt 'P 1'
_space_group_IT_number 1
_cell_length_a 8.093
_cell_length_b 8.093
_cell_length_c 9.086
_cell_angle_alpha 120.33
_cell_angle_beta 120.33
_cell_angle_gamma 30.30
loop_
_space_group_symop_operation_xyz
'x,y,z'
loop_
_atom_site_label
_atom_site_fract_x
_atom_site_fract_y
_atom_site_fract_z
La1 0.000 0.000 0.000
La2 0.302 0.302 0.349
La3 0.698 0.698 0.651
Al1 0.000 0.000 0.500
Al2 0.317 0.317 0.990
Al3 0.683 0.683 0.010
Cu1 0.102 0.102 0.367
Cu2 0.126 0.126 0.825
Cu3 0.360 0.360 0.744
Cu4 0.487 0.487 0.294
Cu5 0.513 0.513 0.706
Cu6 0.640 0.640 0.256
Cu7 0.874 0.874 0.175
Cu8 0.898 0.898 0.633
# Crystal system: monoclinic
# Space-group type: C2/m (12)
# Size of the total moment: 0.0 μB per formula unit

***

x | # La3Al3Cu8 | Alexandria via LeMat-Bulk | GGA-PBE | relaxed
data_La3Al3Cu8
_space_group_name_H-M_alt 'P 1'
_space_group_IT_number 1
_cell_length_a 8.208
_cell_length_b 8.208
_cell_length_c 8.208
_cell_angle_alpha 149.47
_cell_angle_beta 113.54
_cell_angle_gamma 74.89
loop_
_space_group_symop_operation_xyz
'x,y,z'
loop_
_atom_site_label
_atom_site_fract_x
_atom_site_fract_y
_atom_site_fract_z
La1 0.000 0.000 0.000
La2 0.294 0.294 0.000
La3 0.706 0.706 0.000
Al1 0.300 0.500 0.800
Al2 0.500 0.000 0.500
Al3 0.700 0.500 0.200
Cu1 0.015 0.662 0.353
Cu2 0.159 0.872 0.287
Cu3 0.309 0.662 0.647
Cu4 0.415 0.128 0.287
Cu5 0.585 0.872 0.713
Cu6 0.691 0.338 0.353
Cu7 0.841 0.128 0.713
Cu8 0.985 0.338 0.647
# Crystal system: orthorhombic
# Space-group type: Immm (71)
# Size of the total moment: 0.0 μB per formula unit

***

Here is how they stack up, most stable first: w, x.

***

w | # La2Al5Cu3 | Alexandria via LeMat-Bulk | GGA-PBE | relaxed
data_La2Al5Cu3
_space_group_name_H-M_alt 'P 1'
_space_group_IT_number 1
_cell_length_a 8.581
_cell_length_b 8.581
_cell_length_c 8.581
_cell_angle_alpha 104.79
_cell_angle_beta 89.82
_cell_angle_gamma 138.40
loop_
_space_group_symop_operation_xyz
'x,y,z'
loop_
_atom_site_label
_atom_site_fract_x
_atom_site_fract_y
_atom_site_fract_z
La1 0.129 0.249 0.377
La2 0.371 0.749 0.120
La3 0.629 0.251 0.880
La4 0.871 0.751 0.623
Al1 0.004 0.250 0.754
Al2 0.114 0.636 0.750
Al3 0.250 0.250 0.000
Al4 0.386 0.136 0.522
Al5 0.496 0.250 0.246
Al6 0.504 0.750 0.754
Al7 0.614 0.864 0.478
Al8 0.750 0.750 0.000
Al9 0.886 0.364 0.250
Al10 0.996 0.750 0.246
Cu1 0.124 0.873 0.998
Cu2 0.250 0.750 0.500
Cu3 0.376 0.373 0.749
Cu4 0.624 0.627 0.251
Cu5 0.750 0.250 0.500
Cu6 0.876 0.127 0.002
# Crystal system: orthorhombic
# Space-group type: Ibam (72)
# Size of the total moment: 0.0 μB per formula unit

***

x | # La2Al5Cu3 | Alexandria via LeMat-Bulk | GGA-PBE | relaxed
data_La2Al5Cu3
_space_group_name_H-M_alt 'P 1'
_space_group_IT_number 1
_cell_length_a 4.350
_cell_length_b 4.350
_cell_length_c 10.348
_cell_angle_alpha 90.00
_cell_angle_beta 90.00
_cell_angle_gamma 90.00
loop_
_space_group_symop_operation_xyz
'x,y,z'
loop_
_atom_site_label
_atom_site_fract_x
_atom_site_fract_y
_atom_site_fract_z
La1 0.000 0.500 0.236
La2 0.500 0.000 0.764
Al1 0.000 0.000 0.500
Al2 0.000 0.500 0.655
Al3 0.500 0.000 0.345
Al4 0.500 0.500 0.000
Al5 0.500 0.500 0.500
Cu1 0.000 0.000 0.000
Cu2 0.000 0.500 0.888
Cu3 0.500 0.000 0.112
# Crystal system: tetragonal
# Space-group type: P-4m2 (115)
# Size of the total moment: 0.0 μB per formula unit

***

Here is how they stack up, most stable first: w, x.

***

w | # LaAlCuPd | Alexandria via LeMat-Bulk | GGA-PBE | relaxed
data_LaAlCuPd
_space_group_name_H-M_alt 'P 1'
_space_group_IT_number 1
_cell_length_a 4.819
_cell_length_b 4.819
_cell_length_c 4.819
_cell_angle_alpha 60.00
_cell_angle_beta 60.00
_cell_angle_gamma 60.00
loop_
_space_group_symop_operation_xyz
'x,y,z'
loop_
_atom_site_label
_atom_site_fract_x
_atom_site_fract_y
_atom_site_fract_z
La1 0.000 0.000 0.000
Al1 0.500 0.500 0.500
Cu1 0.750 0.750 0.750
Pd1 0.250 0.250 0.250
# Crystal system: cubic
# Space-group type: F-43m (216)
# Size of the total moment: 0.0 μB per formula unit

***

x | # LaAlCuPd | Alexandria via LeMat-Bulk | GGA-PBE | relaxed
data_LaAlCuPd
_space_group_name_H-M_alt 'P 1'
_space_group_IT_number 1
_cell_length_a 5.566
_cell_length_b 5.566
_cell_length_c 5.566
_cell_angle_alpha 46.58
_cell_angle_beta 46.58
_cell_angle_gamma 46.58
loop_
_space_group_symop_operation_xyz
'x,y,z'
loop_
_atom_site_label
_atom_site_fract_x
_atom_site_fract_y
_atom_site_fract_z
La1 0.000 0.000 0.000
Al1 0.500 0.500 0.500
Cu1 0.202 0.202 0.202
Pd1 0.799 0.799 0.799
# Crystal system: trigonal
# Space-group type: R3m (160)
# Size of the total moment: 0.0 μB per formula unit

***

Here is how they stack up, most stable first: x, w.